Nd2FePdO6 (GGA+U, optimized geometry); final energy = -7.1798 eV/atom; ρ = 7.155 Mg/m³
1.0
5.501 0.000 0.000
0.000 5.941 0.000
-5.432 0.000 7.765
Nd Fe Pd O
4 2 2 12
Direct
0.230 0.075 0.250
0.230 0.425 0.750
0.770 0.575 0.250
0.770 0.925 0.750
0.500 0.000 0.000
0.500 0.500 0.500
0.000 0.000 0.500
0.000 0.500 0.000
0.155 0.179 0.948
0.155 0.321 0.448
0.258 0.700 0.947
0.258 0.800 0.447
0.359 0.034 0.751
0.359 0.466 0.251
0.641 0.534 0.749
0.641 0.966 0.249
0.742 0.200 0.553
0.742 0.300 0.053
0.845 0.679 0.552
0.845 0.821 0.052